This record from OQMD describes a relaxed Er2ZnB2O6 crystal. The functional is PBE.

Results
Raw total energy in eV/atom: -7.262
V in A^3/atom: 9.9
Crystal system: monoclinic
Symmetry: C2/m (12)

Cell lengths 4.929, 4.929, 5.815 Å; angles 113.82, 113.82, 60.39 degrees
Positions (direct):
1 Er 0.205 0.205 0.194
2 Er 0.795 0.795 0.806
3 Zn 0.000 0.000 0.500
4 B 0.467 0.467 0.683
5 B 0.533 0.533 0.317
6 O 0.194 0.686 0.180
7 O 0.281 0.281 0.623
8 O 0.314 0.806 0.820
9 O 0.686 0.194 0.180
10 O 0.719 0.719 0.377
11 O 0.806 0.314 0.820